Below is LaGdCdCo after structural relaxation, with properties calculated at the PBE level.

POSCAR file:
```
LaGdCdCo
1.0
-0.817 -1.382 -4.951
-3.482 -3.700 -1.129
-4.469 1.262 -2.350
Gd La Cd Co
1 1 1 1
Direct
0.500 0.500 0.500 Gd
0.000 0.000 0.000 La
0.750 0.750 0.750 Cd
0.250 0.250 0.250 Co
```

Output
DFT total energy, eV per atom: -6.83
Space-group type: F-43m (216)
Calculated volume, A^3/atom: 24.9
Energy of formation from the pure elements, eV/f.u.: -0.303